Entry 1:
Pm3Nd4DyTe8 after structural relaxation. Source: Alexandria, functional GGA-PBE.

abc: 8.944 8.944 8.944
angles: 59.92 59.92 59.92
Sites, in units of the cell vectors:
Pm 0.000 0.500 0.500
Pm 0.500 0.000 0.500
Pm 0.500 0.500 0.000
Nd 0.000 0.000 0.500
Nd 0.000 0.500 0.000
Nd 0.500 0.000 0.000
Nd 0.500 0.500 0.500
Dy 0.000 0.000 0.000
Te 0.246 0.246 0.753
Te 0.246 0.753 0.246
Te 0.247 0.754 0.754
Te 0.251 0.251 0.251
Te 0.749 0.749 0.749
Te 0.753 0.246 0.246
Te 0.754 0.247 0.754
Te 0.754 0.754 0.247

Calculated values
**Density of states at the Fermi level**: 0.777 states/eV/atom
**Symmetry**: R-3m
**Magnetization**: 0.00 Bohr magnetons per cell
**Formation energy without anion corrections**: -1394 meV per atom

Entry 2:
PmNd3Dy2Te6 after structural relaxation. Source: Alexandria, functional GGA-PBE.

abc: 9.954 9.954 8.968
angles: 103.41 103.41 25.58
Sites, in units of the cell vectors:
Pm 0.000 0.000 0.000
Nd 0.000 0.000 0.500
Nd 0.337 0.337 0.168
Nd 0.663 0.663 0.832
Dy 0.335 0.335 0.670
Dy 0.665 0.665 0.330
Te 0.168 0.168 0.092
Te 0.170 0.170 0.576
Te 0.496 0.496 0.750
Te 0.504 0.504 0.250
Te 0.830 0.830 0.424
Te 0.832 0.832 0.908

Calculated values
**Density of states at the Fermi level**: 0.542 states/eV/atom
**Symmetry**: C2/m
**Magnetization**: 0.00 Bohr magnetons per cell
**Formation energy without anion corrections**: -1375 meV per atom

Entry 3:
PmNd2DyTe5 after structural relaxation. Source: Alexandria, functional GGA-PBE.

abc: 5.537 5.537 11.766
angles: 90.00 90.00 90.00
Sites, in units of the cell vectors:
Pm 0.000 0.000 0.000
Nd 0.500 0.500 0.342
Nd 0.500 0.500 0.658
Dy 0.000 0.000 0.500
Te 0.000 0.000 0.249
Te 0.000 0.000 0.751
Te 0.000 0.500 0.500
Te 0.500 0.000 0.500
Te 0.500 0.500 0.000

Calculated values
**Density of states at the Fermi level**: 0.554 states/eV/atom
**Symmetry**: P4/mmm
**Magnetization**: 0.61 Bohr magnetons per cell
**Formation energy without anion corrections**: -826 meV per atom

Entry 4:
Pm2NdDy3Te6 after structural relaxation. Source: Alexandria, functional GGA-PBE.

abc: 9.907 9.907 8.913
angles: 104.01 104.01 25.52
Sites, in units of the cell vectors:
Pm 0.166 0.166 0.332
Pm 0.834 0.834 0.668
Nd 0.500 0.500 0.000
Dy 0.166 0.166 0.833
Dy 0.500 0.500 0.500
Dy 0.834 0.834 0.167
Te 0.002 0.002 0.743
Te 0.330 0.330 0.922
Te 0.335 0.335 0.411
Te 0.665 0.665 0.589
Te 0.670 0.670 0.078
Te 0.998 0.998 0.257

Calculated values
**Density of states at the Fermi level**: 0.503 states/eV/atom
**Symmetry**: C2/m
**Magnetization**: 0.00 Bohr magnetons per cell
**Formation energy without anion corrections**: -1349 meV per atom

Entry 5:
PmNd2Dy3Te6 after structural relaxation. Source: Alexandria, functional GGA-PBE.

abc: 9.920 9.920 8.931
angles: 104.05 104.05 25.50
Sites, in units of the cell vectors:
Pm 0.000 0.000 0.000
Nd 0.333 0.333 0.666
Nd 0.667 0.667 0.334
Dy 0.000 0.000 0.500
Dy 0.333 0.333 0.167
Dy 0.667 0.667 0.833
Te 0.164 0.164 0.590
Te 0.168 0.168 0.076
Te 0.497 0.497 0.255
Te 0.503 0.503 0.745
Te 0.832 0.832 0.924
Te 0.836 0.836 0.410

Calculated values
**Density of states at the Fermi level**: 0.507 states/eV/atom
**Symmetry**: C2/m
**Magnetization**: 0.00 Bohr magnetons per cell
**Formation energy without anion corrections**: -1352 meV per atom

Entry 6:
Pm3Nd2DyTe6 after structural relaxation. Source: Alexandria, functional GGA-PBE.

abc: 9.958 9.958 8.965
angles: 102.63 102.63 25.73
Sites, in units of the cell vectors:
Pm 0.000 0.000 0.000
Pm 0.329 0.329 0.666
Pm 0.671 0.671 0.334
Nd 0.331 0.331 0.164
Nd 0.669 0.669 0.836
Dy 0.000 0.000 0.500
Te 0.162 0.162 0.579
Te 0.165 0.165 0.084
Te 0.498 0.498 0.742
Te 0.502 0.502 0.258
Te 0.835 0.835 0.916
Te 0.838 0.838 0.421

Calculated values
**Density of states at the Fermi level**: 0.551 states/eV/atom
**Symmetry**: C2/m
**Magnetization**: 0.00 Bohr magnetons per cell
**Formation energy without anion corrections**: -1392 meV per atom